No. 1
# PBE SiTcNiRh, optimized geometry
data_SiTcNiRh
_space_group_name_H-M_alt 'P m m m'
_space_group_IT_number 47
_cell_length_a 2.966
_cell_length_b 4.113
_cell_length_c 4.194
_cell_angle_alpha 90.00
_cell_angle_beta 90.00
_cell_angle_gamma 90.00
loop_
_space_group_symop_operation_xyz
'x,y,z'
'-x,-y,-z'
'-x,-y,z'
'x,y,-z'
'x,-y,-z'
'-x,y,z'
'-x,y,-z'
'x,-y,z'
loop_
_atom_site_label
_atom_site_type_symbol
_atom_site_fract_x
_atom_site_fract_y
_atom_site_fract_z
Si1 Si 0.000 0.000 0.000
Tc1 Tc 0.500 0.500 0.000
Ni1 Ni 0.000 0.500 0.500
Rh1 Rh 0.500 0.000 0.500
# **Density of states at the Fermi level**: 2.97 states/eV/cell
# **Formation energy (no corrections)**: -350 meV per atom
# **Magnetic moment**: 0.000 μB per formula unit

No. 2
# PBE AlOs3N, optimized geometry
data_AlOs3N
_space_group_name_H-M_alt 'P m -3 m'
_space_group_IT_number 221
_space_group_name_Hall '-P 4 2 3'
_cell_length_a 4.436
_cell_length_b 4.436
_cell_length_c 4.436
_cell_angle_alpha 90.00
_cell_angle_beta 90.00
_cell_angle_gamma 90.00
loop_
_atom_site_label
_atom_site_type_symbol
_atom_site_fract_x
_atom_site_fract_y
_atom_site_fract_z
Al1 Al 0.000 0.000 0.000
Os1 Os 0.000 0.000 0.500
N1 N 0.500 0.500 0.500
# **E above lowest polymorph**: 2630 meV per atom
# **Density of states at the Fermi level**: 4.62 states/eV/cell
# **Formation energy (no corrections)**: 3067 meV per atom
# **Magnetic moment**: 1.361 μB per formula unit

No. 3
# PBE RbNaHf2, optimized geometry
data_RbNaHf2
_space_group_name_H-M_alt 'F m -3 m'
_space_group_IT_number 225
_space_group_name_Hall '-F 4 2 3'
_cell_length_a 7.715
_cell_length_b 7.715
_cell_length_c 7.715
_cell_angle_alpha 90.00
_cell_angle_beta 90.00
_cell_angle_gamma 90.00
loop_
_atom_site_label
_atom_site_type_symbol
_atom_site_fract_x
_atom_site_fract_y
_atom_site_fract_z
Rb1 Rb 0.000 0.000 0.000
Na1 Na 0.000 0.000 0.500
Hf1 Hf 0.250 0.250 0.250
# **E above lowest polymorph**: 95 meV per atom
# **Density of states at the Fermi level**: 13.00 states/eV/cell
# **ΔE_f**: 1.601 eV/atom
# **Magnetic moment**: 0.000 μB per formula unit

No. 4
# PBE YNiAs2Rh5, optimized geometry
data_YNiAs2Rh5
_space_group_name_H-M_alt 'P 4/m m m'
_space_group_IT_number 123
_space_group_name_Hall '-P 4 2'
_cell_length_a 4.024
_cell_length_b 4.024
_cell_length_c 11.430
_cell_angle_alpha 90.00
_cell_angle_beta 90.00
_cell_angle_gamma 90.00
loop_
_atom_site_label
_atom_site_type_symbol
_atom_site_fract_x
_atom_site_fract_y
_atom_site_fract_z
Y1 Y 0.000 0.000 0.000
Ni1 Ni 0.500 0.500 0.500
As1 As 0.500 0.500 0.303
Rh1 Rh 0.000 0.500 0.184
Rh2 Rh 0.500 0.500 0.000
# **Density of states at the Fermi level**: 13.33 states/eV/cell
# **ΔE_f**: -0.143 eV/atom
# **Magnetic moment**: 0.857 μB per formula unit

No. 5
# PBE FeNiIr, optimized geometry
data_FeNiIr
_space_group_name_H-M_alt 'I 4 m m'
_space_group_IT_number 107
_space_group_name_Hall 'I 4 -2'
_cell_length_a 2.643
_cell_length_b 2.643
_cell_length_c 10.772
_cell_angle_alpha 90.00
_cell_angle_beta 90.00
_cell_angle_gamma 90.00
loop_
_atom_site_label
_atom_site_type_symbol
_atom_site_fract_x
_atom_site_fract_y
_atom_site_fract_z
Fe1 Fe 0.000 0.000 0.000
Ni1 Ni 0.000 0.000 0.658
Ir1 Ir 0.000 0.000 0.331
# **E above lowest polymorph**: 22 meV per atom
# **Density of states at the Fermi level**: 7.58 states/eV/cell
# **ΔE_f**: 0.008 eV/atom
# **Magnetic moment**: 3.078 μB per formula unit

No. 6
# PBE NbZn2Au, optimized geometry
data_NbZn2Au
_space_group_name_H-M_alt 'F -4 3 m'
_space_group_IT_number 216
_space_group_name_Hall 'F -4 2 3'
_cell_length_a 6.423
_cell_length_b 6.423
_cell_length_c 6.423
_cell_angle_alpha 90.00
_cell_angle_beta 90.00
_cell_angle_gamma 90.00
loop_
_atom_site_label
_atom_site_type_symbol
_atom_site_fract_x
_atom_site_fract_y
_atom_site_fract_z
Nb1 Nb 0.000 0.000 0.000
Zn1 Zn 0.000 0.000 0.500
Zn2 Zn 0.250 0.250 0.750
Au1 Au 0.250 0.250 0.250
# **Density of states at the Fermi level**: 12.56 states/eV/cell
# **ΔE_f**: 0.062 eV/atom
# **Magnetic moment**: 0.206 μB per formula unit

| no. | total DFT energy (no corrections) (eV per atom) |
| --- | --- |
| 1 | -7.58 |
| 2 | -6.08 |
| 3 | -3.95 |
| 4 | -6.62 |
| 5 | -7.69 |
| 6 | -3.91 |